(1)
Density functional theory data (PBE-GGA) for Y6Co2Hg after structural relaxation.

abc: 9.335 9.697 9.960
angles: 90.00 90.00 90.00
Space group Immm (No. 71)
Symmetry-distinct sites (fractional):
Y (0.000, 0.202, 0.236)
Y (0.189, 0.500, 0.175)
Y (0.215, 0.317, 0.500)
Co (0.000, 0.346, 0.000)
Co (0.000, 0.500, 0.387)
Hg (0.000, 0.000, 0.000)
Hg (0.000, 0.000, 0.500)

Computed properties:
As for the total magnetization: 0.000 μB/atom. As for the formation energy: -249 meV/atom.

=====

(2)
Density functional theory data (PBE-GGA) for BaLa3Rh after structural relaxation.

abc: 5.814 5.814 5.814
angles: 90.00 90.00 90.00
Space group Pm-3m (No. 221)
Symmetry-distinct sites (fractional):
Ba (0.000, 0.000, 0.000)
La (0.000, 0.500, 0.500)
Rh (0.500, 0.500, 0.500)

Computed properties:
Its energy above the most stable polymorph in this dataset is 0.0000 eV per atom. As for the total magnetization: 0.000 μB/atom. As for the formation energy: -236 meV/atom.

=====

(3)
Density functional theory data (PBE-GGA) for PmDyHoEr after structural relaxation.

abc: 8.017 8.017 8.017
angles: 90.00 90.00 90.00
Space group F-43m (No. 216)
Symmetry-distinct sites (fractional):
Pm (0.000, 0.000, 0.000)
Dy (0.250, 0.250, 0.250)
Ho (0.000, 0.000, 0.500)
Er (0.250, 0.250, 0.750)

Computed properties:
Its energy above the most stable polymorph in this dataset is 0.1216 eV per atom. As for the total magnetization: 0.000 μB/atom. As for the formation energy: 137 meV/atom.

=====

(4)
Density functional theory data (PBE-GGA) for Tb2PrTm after structural relaxation.

abc: 5.474 13.506 3.544
angles: 90.00 90.00 90.00
Space group Pmn2_1 (No. 31)
Symmetry-distinct sites (fractional):
Tb (0.000, 0.042, 0.000)
Tb (0.000, 0.564, 0.497)
Pr (0.000, 0.297, 0.499)
Tm (0.000, 0.816, 0.499)

Computed properties:
Its energy above the most stable polymorph in this dataset is 0.0230 eV per atom. As for the total magnetization: 0.000 μB/atom. As for the formation energy: 45 meV/atom.

=====

(5)
Density functional theory data (PBE-GGA) for Na4Sc3MnTe8 after structural relaxation.

abc: 8.3913 8.3913 22.6838
angles: 90.00 90.00 120.00
Space group R-3m (No. 166, hexagonal axes)
Symmetry-distinct sites (fractional):
Na (0.0000, 0.0000, 0.0000)
Na (0.0000, 0.5000, 0.0000)
Sc (0.0000, 0.5000, 0.5000)
Mn (0.0000, 0.0000, 0.5000)
Te (0.0000, 0.0000, 0.2404)
Te (0.0075, 0.5038, 0.2383)

Computed properties:
As for the total magnetization: 0.258 μB/atom. For the uncorrected formation energy, the calculation gives -0.9918 eV/atom.

=====

(6)
Density functional theory data (PBE-GGA) for YGaOs2Pb after structural relaxation.

abc: 5.025 5.025 5.006
angles: 90.00 90.00 90.00
Space group P4/mmm (No. 123)
Symmetry-distinct sites (fractional):
Y (0.000, 0.000, 0.000)
Ga (0.500, 0.500, 0.000)
Os (0.000, 0.500, 0.500)
Pb (0.500, 0.500, 0.500)

Computed properties:
As for the total magnetization: 0.000 μB/atom. As for the formation energy: 1587 meV/atom.

=====

(7)
Density functional theory data (PBE-GGA) for BeSbSe4 after structural relaxation.

abc: 8.061 8.061 8.061
angles: 90.00 90.00 90.00
Space group F-43m (No. 216)
Symmetry-distinct sites (fractional):
Be (0.000, 0.000, 0.000)
Sb (0.250, 0.250, 0.750)
Se (0.127, 0.127, 0.373)

Computed properties:
As for the total magnetization: 0.000 μB/atom. For the uncorrected formation energy, the calculation gives 0.8666 eV/atom.

=====

(8)
Density functional theory data (PBE-GGA) for Li2Sc5Hg12 after structural relaxation.

abc: 14.005 8.405 7.100
angles: 90.00 90.66 90.00
Space group C2/m (No. 12)
Symmetry-distinct sites (fractional):
Li (0.000, 0.248, 0.000)
Sc (0.000, 0.500, 0.500)
Sc (0.187, 0.000, 0.945)
Sc (0.249, 0.500, 0.571)
Hg (0.039, 0.000, 0.234)
Hg (0.106, 0.500, 0.898)
Hg (0.115, 0.217, 0.636)
Hg (0.168, 0.294, 0.232)

Computed properties:
As for the total magnetization: 0.000 μB/atom. As for the formation energy: -240 meV/atom.

=====

(9)
Density functional theory data (PBE-GGA) for InSb2Pb after structural relaxation.

abc: 3.3790 3.3790 34.6181
angles: 90.00 90.00 120.00
Space group R3m (No. 160, hexagonal axes)
Symmetry-distinct sites (fractional):
In (0.0000, 0.0000, 0.0000)
Sb (0.0000, 0.0000, 0.4931)
Sb (0.0000, 0.0000, 0.7479)
Pb (0.0000, 0.0000, 0.2484)

Computed properties:
Its energy above the most stable polymorph in this dataset is 0.1001 eV per atom. As for the total magnetization: 0.000 μB/atom. For the uncorrected formation energy, the calculation gives 0.1497 eV/atom.

=====

(10)
Density functional theory data (PBE-GGA) for Sc2Si7Rh12 after structural relaxation.

abc: 9.6902 9.6902 3.7961
angles: 90.00 90.00 120.00
Space group P-3 (No. 147)
Symmetry-distinct sites (fractional):
Sc (0.3333, 0.6667, 0.2502)
Si (0.0000, 0.0000, 0.0000)
Si (0.1140, 0.7094, 0.7493)
Rh (0.0663, 0.4463, 0.7485)
Rh (0.1192, 0.2634, 0.2455)

Computed properties:
As for the total magnetization: 0.000 μB/atom. For the uncorrected formation energy, the calculation gives -0.9190 eV/atom.

=====

(11)
Density functional theory data (PBE-GGA) for FeCu2Cl6 after structural relaxation.

abc: 13.663 13.155 6.462
angles: 90.00 116.10 90.00
Space group C2/c (No. 15)
Symmetry-distinct sites (fractional):
Fe (0.000, 0.231, 0.250)
Cu (0.233, 0.433, 0.403)
Cl (0.098, 0.134, 0.553)
Cl (0.101, 0.327, 0.134)
Cl (0.221, 0.416, 0.734)

Computed properties:
Its energy above the most stable polymorph in this dataset is 0.0000 eV per atom. As for the total magnetization: 0.658 μB/atom. For the uncorrected formation energy, the calculation gives -0.6220 eV/atom.

=====

(12)
Density functional theory data (PBE-GGA) for Pr3AgHg after structural relaxation.

abc: 9.956 17.099 3.863
angles: 90.00 90.00 90.00
Space group C2 (No. 5)
Symmetry-distinct sites (fractional):
Pr (0.000, 0.000, 0.000)
Pr (0.000, 0.300, 0.000)
Pr (0.194, 0.542, 0.499)
Pr (0.195, 0.756, 0.501)
Ag (0.250, 0.399, 0.999)
Hg (0.000, 0.150, 0.500)
Hg (0.000, 0.649, 0.000)

Computed properties:
Its energy above the most stable polymorph in this dataset is 0.2074 eV per atom. As for the total magnetization: 0.000 μB/atom. As for the formation energy: -74 meV/atom.

=====

(13)
Density functional theory data (PBE-GGA) for Si2HgP2 after structural relaxation.

abc: 4.552 4.552 8.501
angles: 90.00 90.00 90.00
Space group I4/mmm (No. 139)
Symmetry-distinct sites (fractional):
Si (0.000, 0.000, 0.146)
Hg (0.000, 0.000, 0.500)
P (0.000, 0.500, 0.250)

Computed properties:
As for the total magnetization: 0.000 μB/atom. For the uncorrected formation energy, the calculation gives 0.1701 eV/atom.

=====

(14)
Density functional theory data (PBE-GGA) for KOsPb2 after structural relaxation.

abc: 6.585 9.695 3.143
angles: 90.00 90.00 90.00
Space group Cmmm (No. 65)
Symmetry-distinct sites (fractional):
K (0.000, 0.000, 0.000)
Os (0.000, 0.500, 0.000)
Pb (0.250, 0.250, 0.500)

Computed properties:
Its energy above the most stable polymorph in this dataset is 0.6331 eV per atom. As for the total magnetization: 0.356 μB/atom. As for the formation energy: 998 meV/atom.

=====

(15)
Density functional theory data (PBE-GGA) for Ba12Sr6Ac after structural relaxation.

abc: 16.6566 16.6566 14.4141
angles: 90.00 90.00 120.00
Space group R-3 (No. 148, hexagonal axes)
Symmetry-distinct sites (fractional):
Ba (0.0003, 0.2591, 0.0004)
Ba (0.0656, 0.5322, 0.1203)
Sr (0.0831, 0.1671, 0.7530)
Ac (0.0000, 0.0000, 0.0000)

Computed properties:
As for the total magnetization: 0.038 μB/atom. As for the formation energy: 104 meV/atom.

=====

(16)
Density functional theory data (PBE-GGA) for ZrMnMo2Pt after structural relaxation.

abc: 4.742 4.742 4.371
angles: 90.00 90.00 90.00
Space group P4/mmm (No. 123)
Symmetry-distinct sites (fractional):
Zr (0.000, 0.000, 0.000)
Mn (0.000, 0.000, 0.500)
Mo (0.000, 0.500, 0.000)
Pt (0.500, 0.500, 0.500)

Computed properties:
As for the total magnetization: 0.000 μB/atom. As for the formation energy: 1983 meV/atom.

=====

(17)
Density functional theory data (PBE-GGA) for NdNiH3 after structural relaxation.

abc: 3.625 3.625 3.625
angles: 90.00 90.00 90.00
Space group Pm-3m (No. 221)
Symmetry-distinct sites (fractional):
Nd (0.000, 0.000, 0.000)
Ni (0.500, 0.500, 0.500)
H (0.000, 0.500, 0.500)

Computed properties:
For the total energy, the calculation gives -22.86 eV/cell. As for the total magnetization: 0.000 μB/atom.

=====

(18)
Density functional theory data (PBE-GGA) for MgOsPb2 after structural relaxation.

abc: 9.673 3.228 7.188
angles: 90.00 109.86 90.00
Space group Cm (No. 8)
Symmetry-distinct sites (fractional):
Mg (0.000, 0.000, 0.000)
Os (0.274, 0.000, 0.004)
Pb (0.165, 0.500, 0.669)
Pb (0.330, 0.500, 0.337)

Computed properties:
As for the total magnetization: 0.000 μB/atom. As for the formation energy: 411 meV/atom.

=====

(19)
Density functional theory data (PBE-GGA) for MoIrCl2 after structural relaxation.

abc: 3.091 3.091 6.377
angles: 90.00 90.00 90.00
Space group P4/mmm (No. 123)
Symmetry-distinct sites (fractional):
Mo (0.000, 0.000, 0.000)
Ir (0.000, 0.000, 0.500)
Cl (0.500, 0.500, 0.229)

Computed properties:
Its energy above the most stable polymorph in this dataset is 1.2211 eV per atom. As for the total magnetization: 0.000 μB/atom. For the uncorrected formation energy, the calculation gives 0.9884 eV/atom.

=====

(20)
Density functional theory data (PBE-GGA) for PrNd2PaP4 after structural relaxation.

abc: 5.814 5.814 11.655
angles: 90.00 90.00 90.00
Space group I-4m2 (No. 119)
Symmetry-distinct sites (fractional):
Pr (0.000, 0.000, 0.000)
Nd (0.000, 0.000, 0.500)
Nd (0.000, 0.500, 0.250)
Pa (0.000, 0.500, 0.750)
P (0.000, 0.000, 0.251)
P (0.000, 0.500, 0.512)

Computed properties:
As for the total magnetization: 0.000 μB/atom. As for the formation energy: -1479 meV/atom.

=====

(21)
Density functional theory data (PBE-GGA) for MgTeAsBr2 after structural relaxation.

abc: 4.952 4.952 5.919
angles: 90.00 90.00 90.00
Space group P4/mmm (No. 123)
Symmetry-distinct sites (fractional):
Mg (0.000, 0.000, 0.000)
Te (0.500, 0.500, 0.500)
As (0.000, 0.000, 0.500)
Br (0.000, 0.500, 0.000)

Computed properties:
Its energy above the most stable polymorph in this dataset is 0.0000 eV per atom. As for the total magnetization: 0.147 μB/atom. For the uncorrected formation energy, the calculation gives -0.0872 eV/atom.

=====

(22)
Density functional theory data (PBE-GGA) for La2SmGe2 after structural relaxation.

abc: 12.730 4.520 11.121
angles: 90.00 116.40 90.00
Space group C2/m (No. 12)
Symmetry-distinct sites (fractional):
La (0.014, 0.000, 0.187)
La (0.179, 0.000, 0.588)
Sm (0.221, 0.500, 0.862)
Ge (0.017, 0.500, 0.393)
Ge (0.114, 0.500, 0.059)

Computed properties:
Its energy above the most stable polymorph in this dataset is 0.0609 eV per atom. As for the total magnetization: 0.000 μB/atom. As for the formation energy: -704 meV/atom.

=====

(23)
Density functional theory data (PBE-GGA) for Pm2Zn3Ga after structural relaxation.

abc: 7.421 9.004 15.614
angles: 90.00 90.00 90.00
Space group Fmmm (No. 69)
Symmetry-distinct sites (fractional):
Pm (0.242, 0.000, 0.000)
Pm (0.250, 0.250, 0.250)
Zn (0.000, 0.000, 0.167)
Zn (0.000, 0.248, 0.417)
Ga (0.000, 0.000, 0.335)

Computed properties:
Its energy above the most stable polymorph in this dataset is 0.0000 eV per atom. As for the total magnetization: 0.000 μB/atom. As for the formation energy: -454 meV/atom.